Entry w
Below is a relaxed structure of ZnRh2Cl, with properties calculated at the GGA-PBEsol level.

POSCAR file:
```
ZnRh2Cl
1.0
-2.138 2.138 3.045
2.138 -2.138 3.045
2.138 2.138 -3.045
Zn Rh Cl
1 2 1
direct
0.000 0.000 0.000
0.250 0.750 0.500
0.750 0.250 0.500
0.500 0.500 0.000
```

total magnetization = 0.0 μB per cell
space group = I4/mmm, No. 139
DOS(E_F) = 5.8 states/eV/cell

Entry x
Below is a relaxed structure of ZnRh2Cl, with properties calculated at the GGA-PBEsol level.

POSCAR file:
```
ZnRh2Cl
1.0
1.419 -2.480 0.000
1.419 2.480 0.000
0.000 0.000 8.289
Zn Rh Cl
1 2 1
direct
0.000 0.000 0.000
0.000 0.000 0.495
0.500 0.500 0.753
0.500 0.500 0.247
```

total magnetization = 0.0 μB per cell
space group = Cmm2, No. 35
DOS(E_F) = 3.7 states/eV/cell

Entry y
Below is a relaxed structure of ZnRh2Cl, with properties calculated at the GGA-PBEsol level.

POSCAR file:
```
ZnRh2Cl
1.0
0.000 3.089 3.089
3.089 0.000 3.089
3.089 3.089 0.000
Zn Rh Cl
1 2 1
direct
0.000 0.000 0.000
0.500 0.500 0.500
0.750 0.750 0.750
0.250 0.250 0.250
```

total magnetization = 2.0 μB per cell
space group = F-43m, No. 216
DOS(E_F) = 3.9 states/eV/cell

Most stable of them? entry x.